A plane-wave DFT calculation with PBE-GGA was carried out for a geometry-optimized AlAu2 structure.

The calculation puts the volume at 240 Å³/cell. As for the size of the total moment: 0.000 μB/atom. As for the energy of formation from the pure elements: -0.055 eV per atom. Its crystal system is cubic.

It has space group Pa-3 (No. 205), with a = 6.217 Å, b = 6.217 Å, c = 6.217 Å, α = 90.00°, β = 90.00° and γ = 90.00°. The distinct sites, in fractional coordinates, are Al at (0.000, 0.000, 0.000) and Au at (0.135, 0.635, 0.865).